(1)
5
Lattice="5.938 0.000 0.000 0.000 3.399 0.000 0.000 0.000 5.938" Properties=species:S:1:pos:R:3 comment="Na2CrSiN, optimized geometry, DFT PBE" dos_at_fermi_per_ev_cell=1.60 m_tot_mub_per_fu=4.97 formation_energy_uncorrected_ev_per_atom=0.756 space_group="P4/mmm, No. 123" pbc="T T T"
N 0.000 1.700 0.000
Na 2.969 0.000 0.000
Si 0.000 0.000 0.000
Cr 2.969 1.700 2.969
Na 0.000 0.000 2.969


(2)
9
Lattice="-1.491 -2.721 -1.318 2.834 -2.529 6.325 -6.839 4.997 -2.578" Properties=species:S:1:pos:R:3 comment="Na2SrCr2N4, optimized geometry, DFT PBE" dos_at_fermi_per_ev_cell=4.08 m_tot_mub_per_fu=0.82 formation_energy_uncorrected_ev_per_atom=-0.493 space_group="C2/m, No. 12" pbc="T T T"
N -2.316 -0.266 -1.143
N -5.639 0.998 0.009
Na -2.399 -1.932 2.391
Na -3.098 1.679 0.037
N -3.181 0.014 3.571
Cr -6.609 2.127 -1.224
N 0.143 -1.250 2.419
Sr 0.000 0.000 0.000
Cr 1.112 -2.379 3.652


(3)
12
Lattice="5.373 0.070 0.000 1.232 5.691 0.000 0.616 2.846 5.327" Properties=species:S:1:pos:R:3 comment="NaSrCrN3, optimized geometry, DFT PBE" dos_at_fermi_per_ev_cell=0.55 m_tot_mub_per_fu=0.00 formation_energy_uncorrected_ev_per_atom=-0.450 space_group="C2/c, No. 15" pbc="T T T"
N 4.646 2.898 3.133
Sr 1.960 2.863 2.575
N 2.576 5.708 2.194
Na 2.576 5.708 4.559
Cr 2.576 5.708 0.472
N 6.194 4.589 0.496
N 4.123 7.399 4.831
N 1.028 4.018 4.831
Cr 4.646 2.898 4.855
Sr 5.262 5.743 2.752
N 3.099 1.207 0.496
Na 4.646 2.898 0.768


(4)
5
Lattice="3.780 0.000 0.000 0.000 4.508 0.000 0.000 0.000 3.780" Properties=species:S:1:pos:R:3 comment="NaTaCrN2, optimized geometry, DFT PBE" dos_at_fermi_per_ev_cell=3.69 m_tot_mub_per_fu=0.00 formation_energy_uncorrected_ev_per_atom=1.461 space_group="P4/mmm, No. 123" pbc="T T T"
N 1.890 0.000 0.000
Ta 1.890 2.254 1.890
Na 0.000 2.254 0.000
N 0.000 0.000 1.890
Cr 0.000 0.000 0.000


(5)
16
Lattice="-3.299 -1.312 4.575 -4.457 -1.685 -3.698 2.303 -5.976 -0.053" Properties=species:S:1:pos:R:3 comment="Na2CrTcN4, optimized geometry, DFT PBE" dos_at_fermi_per_ev_cell=4.10 m_tot_mub_per_fu=0.00 formation_energy_uncorrected_ev_per_atom=-0.266 space_group="Pmn2_1, No. 31" pbc="T T T"
Na -2.686 -2.711 -2.708
N -1.371 -3.990 3.391
Tc -4.105 -1.616 3.906
N -4.196 -3.407 3.317
N -5.257 -2.004 -2.507
Na -1.524 -5.727 -2.735
Tc -4.149 -5.024 -0.768
Cr -2.940 -4.599 3.890
Na -1.134 -5.580 1.253
N 0.288 -3.330 1.069
N -6.879 -2.649 -0.238
Na -2.275 -2.620 1.279
N -2.868 -6.296 -0.219
N -3.074 -6.317 3.291
N -4.049 -3.230 -0.192
Cr -5.314 -2.041 -0.753


(6)
5
Lattice="-0.713 -3.731 0.271 2.179 -0.190 3.118 -4.344 1.055 3.101" Properties=species:S:1:pos:R:3 comment="NaCrTeN2, optimized geometry, DFT PBE" dos_at_fermi_per_ev_cell=2.18 m_tot_mub_per_fu=0.15 formation_energy_uncorrected_ev_per_atom=0.414 relative_energy_mev_per_atom=0 space_group="P4/mmm, No. 123" pbc="T T T"
Na -1.439 -1.433 3.245
Te -2.172 0.528 1.550
N -0.357 -1.866 0.135
Cr 0.000 0.000 0.000
N 1.090 -0.095 1.559


Please write out number 1 again, unchanged.
5
Lattice="5.938 0.000 0.000 0.000 3.399 0.000 0.000 0.000 5.938" Properties=species:S:1:pos:R:3 comment="Na2CrSiN, optimized geometry, DFT PBE" dos_at_fermi_per_ev_cell=1.60 m_tot_mub_per_fu=4.97 formation_energy_uncorrected_ev_per_atom=0.756 space_group="P4/mmm, No. 123" pbc="T T T"
N 0.000 1.700 0.000
Na 2.969 0.000 0.000
Si 0.000 0.000 0.000
Cr 2.969 1.700 2.969
Na 0.000 0.000 2.969